A relaxed Tb2CoC4 crystal, computed with PBE.

Output
V: 184 Å³/cell
Density of states at the Fermi level: 7.05 states/eV per cell
Calculated formation energy: -267 meV per atom

a b c (Å): 6.632 6.632 6.632
angles (deg): 111.66 85.70 134.90
Element x y z (fractional)
1 Tb 0.145 0.161 0.306
2 Tb 0.355 0.661 0.016
3 Tb 0.645 0.339 0.984
4 Tb 0.855 0.839 0.694
5 Co 0.250 0.750 0.500
6 Co 0.750 0.250 0.500
7 C 0.078 0.668 0.746
8 C 0.127 0.839 0.965
9 C 0.373 0.339 0.712
10 C 0.422 0.168 0.590
11 C 0.578 0.832 0.410
12 C 0.627 0.661 0.288
13 C 0.873 0.161 0.035
14 C 0.922 0.332 0.254